## HfTaVF2 (PBE with a Hubbard U)

Data for a relaxed structure of HfTaVF2.

DOS(E_F) in states/eV/cell: 4.11
Total DFT energy (no corrections) in eV/atom: -6.850

Cell: 4.0805 4.0805 5.8747 Å, 90.00 90.00 90.00°
With the nearest neighbours (Å) after each atom.
Element x y z (fractional)
Hf 0.0000 0.0000 0.0000  4 V 2.89, 2 Ta 2.94
Ta 0.0000 0.0000 0.5000  4 F 2.04
V 0.5000 0.5000 0.0000  4 Hf 2.89
F 0.0000 0.5000 0.5000  2 Ta 2.04
F 0.5000 0.0000 0.5000  2 Ta 2.04